[1]
Compound: Zr4PbC
Source: the Alexandria database
Functional: PBE
Structure: optimized geometry Values from VASP.

Results
DOS(E_F)	4.04	states/eV/cell
energy above the lowest structure with this stoichiometry	0.000	kcal/mol of atoms
DFT formation energy	-0.272	eV/atom
total magnetization	0.0	Bohr magnetons per cell

```
&SYSTEM
  ibrav = 0, nat = 6, ntyp = 3
/
ATOMIC_SPECIES
Zr 91.22 Zr.upf
Pb 207.20 Pb.upf
C 12.01 C.upf
ATOMIC_POSITIONS crystal
Zr 0.0842 0.0000 0.2298
Zr 0.3030 0.5000 0.5921
Zr 0.6970 0.5000 0.4079
Zr 0.9158 0.0000 0.7702
Pb 0.5000 0.5000 0.0000
C 0.0000 0.0000 0.5000
CELL_PARAMETERS angstrom
5.2530 0.0000 0.0000
0.0000 3.2916 0.0000
-2.4271 0.0000 7.4705
```

[2]
Compound: Pd4C
Source: the Alexandria database
Functional: PBE
Structure: optimized geometry Values from VASP.

Results
DOS(E_F)	5.22	states/eV/cell
DFT formation energy	0.278	eV/atom
total magnetization	0.0	Bohr magnetons per cell

```
&SYSTEM
  ibrav = 0, nat = 5, ntyp = 2
/
ATOMIC_SPECIES
Pd 106.42 Pd.upf
C 12.01 C.upf
ATOMIC_POSITIONS crystal
Pd 0.0000 0.0000 0.0000
Pd 0.0000 0.5000 0.5000
Pd 0.5000 0.0000 0.5000
Pd 0.5000 0.5000 0.0000
C 0.5000 0.5000 0.5000
CELL_PARAMETERS angstrom
4.1387 0.0000 0.0000
0.0000 4.1387 0.0000
0.0000 0.0000 4.1387
```

[3]
Compound: Pd4C23
Source: the Alexandria database
Functional: PBE
Structure: optimized geometry Values from VASP.

Results
DOS(E_F)	0.06	states/eV/cell
DFT formation energy	1.243	eV/atom
total magnetization	0.0	Bohr magnetons per cell

```
&SYSTEM
  ibrav = 0, nat = 54, ntyp = 2
/
ATOMIC_SPECIES
Pd 106.42 Pd.upf
C 12.01 C.upf
ATOMIC_POSITIONS crystal
Pd 0.0000 0.0000 0.0000
Pd 0.0000 0.2500 0.5000
Pd 0.0000 0.7500 0.5000
Pd 0.2500 0.5000 0.0000
Pd 0.5000 0.0000 0.2500
Pd 0.5000 0.0000 0.7500
Pd 0.5000 0.5000 0.5000
Pd 0.7500 0.5000 0.0000
C 0.0000 0.3044 0.1276
C 0.0000 0.3044 0.8724
C 0.0000 0.5000 0.2500
C 0.0000 0.5000 0.7500
C 0.0000 0.6956 0.1276
C 0.0000 0.6956 0.8724
C 0.1276 0.0000 0.3044
C 0.1276 0.0000 0.6956
C 0.1865 0.1865 0.1865
C 0.1865 0.1865 0.8135
C 0.1865 0.8135 0.1865
C 0.1865 0.8135 0.8135
C 0.1956 0.5000 0.3724
C 0.1956 0.5000 0.6276
C 0.2500 0.0000 0.5000
C 0.3044 0.1276 0.0000
C 0.3044 0.8724 0.0000
C 0.3135 0.3135 0.3135
C 0.3135 0.3135 0.6865
C 0.3135 0.6865 0.3135
C 0.3135 0.6865 0.6865
C 0.3724 0.1956 0.5000
C 0.3724 0.8044 0.5000
C 0.5000 0.2500 0.0000
C 0.5000 0.3724 0.1956
C 0.5000 0.3724 0.8044
C 0.5000 0.6276 0.1956
C 0.5000 0.6276 0.8044
C 0.5000 0.7500 0.0000
C 0.6276 0.1956 0.5000
C 0.6276 0.8044 0.5000
C 0.6865 0.3135 0.3135
C 0.6865 0.3135 0.6865
C 0.6865 0.6865 0.3135
C 0.6865 0.6865 0.6865
C 0.6956 0.1276 0.0000
C 0.6956 0.8724 0.0000
C 0.7500 0.0000 0.5000
C 0.8044 0.5000 0.3724
C 0.8044 0.5000 0.6276
C 0.8135 0.1865 0.1865
C 0.8135 0.1865 0.8135
C 0.8135 0.8135 0.1865
C 0.8135 0.8135 0.8135
C 0.8724 0.0000 0.3044
C 0.8724 0.0000 0.6956
CELL_PARAMETERS angstrom
7.1560 0.0000 0.0000
0.0000 7.1560 0.0000
0.0000 0.0000 7.1560
```